[1]
Computed, not measured: a relaxed MgGaCo crystal at the PBE level of DFT.

crystal system	orthorhombic
energy of formation	-0.22	eV per atom

Unit cell a=4.968 b=4.968 c=4.968 alpha=118.70 beta=118.00 gamma=92.89
Element x y z (fractional)
Mg1 0.363 0.113 0.250
Mg2 0.637 0.887 0.750
Ga1 0.000 0.500 0.500
Ga2 0.500 0.500 0.000
Co1 0.000 0.000 0.500
Co2 0.000 0.500 0.000

[2]
Computed, not measured: a relaxed CuAs2P2 crystal at the PBE level of DFT.

crystal system	triclinic
energy of formation	0.19	eV per atom

Unit cell a=2.645 b=5.863 c=6.136 alpha=76.26 beta=83.22 gamma=80.30
Element x y z (fractional)
Cu1 0.000 0.000 0.000
As1 0.066 0.800 0.447
As2 0.934 0.200 0.553
P1 0.036 0.326 0.127
P2 0.964 0.674 0.873

[3]
Computed, not measured: a relaxed LaTb6Dy2 crystal at the PBE level of DFT.

crystal system	monoclinic
E above lowest polymorph	0.084	eV/atom
energy of formation	0.10	eV per atom

Unit cell a=9.581 b=9.581 c=6.634 alpha=98.81 beta=98.81 gamma=95.53
Element x y z (fractional)
La1 0.123 0.877 0.750
La2 0.877 0.123 0.250
Tb1 0.051 0.223 0.822
Tb2 0.060 0.463 0.271
Tb3 0.223 0.051 0.322
Tb4 0.280 0.650 0.000
Tb5 0.350 0.720 0.500
Tb6 0.463 0.060 0.771
Tb7 0.537 0.940 0.229
Tb8 0.650 0.280 0.500
Tb9 0.720 0.350 0.000
Tb10 0.777 0.949 0.678
Tb11 0.940 0.537 0.729
Tb12 0.949 0.777 0.178
Dy1 0.336 0.385 0.633
Dy2 0.385 0.336 0.133
Dy3 0.615 0.664 0.867
Dy4 0.664 0.615 0.367

[4]
Computed, not measured: a relaxed LiThP2Rh5 crystal at the PBE level of DFT.

crystal system	tetragonal
energy of formation	-0.83	eV per atom

Unit cell a=4.078 b=4.078 c=8.751 alpha=90.00 beta=90.00 gamma=90.00
Element x y z (fractional)
Li1 0.000 0.000 0.000
Th1 0.000 0.000 0.500
P1 0.500 0.500 0.129
P2 0.500 0.500 0.871
Rh1 0.000 0.500 0.249
Rh2 0.000 0.500 0.751
Rh3 0.500 0.000 0.249
Rh4 0.500 0.000 0.751
Rh5 0.500 0.500 0.500

[5]
Computed, not measured: a relaxed KTlN2O crystal at the PBE level of DFT.

crystal system	tetragonal

Unit cell a=4.594 b=4.594 c=4.451 alpha=90.00 beta=90.00 gamma=90.00
Element x y z (fractional)
K1 0.000 0.000 0.000
Tl1 0.500 0.500 0.500
N1 0.000 0.500 0.500
N2 0.500 0.000 0.500
O1 0.500 0.500 0.000

[6]
Computed, not measured: a relaxed Ti2Co4Ir crystal at the PBE level of DFT.

crystal system	tetragonal
energy of formation	-0.21	eV per atom

Unit cell a=9.022 b=9.022 c=9.022 alpha=159.37 beta=159.37 gamma=29.33
Element x y z (fractional)
Ti1 0.093 0.093 0.000
Ti2 0.907 0.907 0.000
Co1 0.250 0.750 0.500
Co2 0.352 0.352 0.000
Co3 0.648 0.648 0.000
Co4 0.750 0.250 0.500
Ir1 0.500 0.500 0.000

[7]
Computed, not measured: a relaxed TaVCo5 crystal at the PBE level of DFT.

crystal system	tetragonal
energy of formation	0.09	eV per atom

Unit cell a=3.770 b=3.770 c=6.204 alpha=90.00 beta=90.00 gamma=90.00
Element x y z (fractional)
Ta1 0.000 0.000 0.000
V1 0.500 0.500 0.500
Co1 0.000 0.500 0.281
Co2 0.000 0.500 0.719
Co3 0.500 0.000 0.281
Co4 0.500 0.000 0.719
Co5 0.500 0.500 0.000

[8]
Computed, not measured: a relaxed TlBiCl4 crystal at the PBE level of DFT.

crystal system	monoclinic

Unit cell a=9.738 b=9.738 c=7.224 alpha=102.80 beta=102.80 gamma=124.79
Element x y z (fractional)
Tl1 0.175 0.825 0.750
Tl2 0.825 0.175 0.250
Bi1 0.434 0.566 0.750
Bi2 0.566 0.434 0.250
Cl1 0.121 0.466 0.751
Cl2 0.253 0.362 0.318
Cl3 0.362 0.253 0.818
Cl4 0.466 0.121 0.251
Cl5 0.534 0.879 0.749
Cl6 0.638 0.747 0.182
Cl7 0.747 0.638 0.682
Cl8 0.879 0.534 0.249

We obtain raw total energy values of -4.1284 -4.6523 -4.5542 -7.1530 -3.9172 -7.7942 -7.9833 -3.2947 eV/atom for the records listed above, in that order.